A relaxed structure of LiVF4, computed with PBE with a Hubbard U.

Results
**Relative energy among the computed polymorphs**: 0.010 eV per atom
**Theoretical density**: 3.21 Mg/m³
**Size of the total moment**: 0.33 μB per atom

Cell lengths 6.5214, 6.8117, 3.1189 Å; angles 90.00, 90.00, 90.00 degrees
Last column: nearest neighbours and their distance in Å.
Space group Cmmm (No. 65)
Unique sites:
Li 0.0000 0.0000 0.0000 (multiplicity 2)  6 F 2.06-2.12
V 0.0000 0.5000 0.5000 (multiplicity 2)  6 F 1.92-2.02
F 0.0000 0.3108 0.0000 (multiplicity 4)  2 V 2.02, 1 Li 2.12
F 0.2055 0.0000 0.5000 (multiplicity 4)  1 V 1.92, 2 Li 2.06